# 1
! V2CdPd8 PBE-GGA relaxed; values from VASP
! **Energy of formation**: -0.24 eV/atom
! **N(E_F)**: 10.17 states/eV/cell
! **Crystal system**: monoclinic
! **Space-group type**: No. 12
&SYSTEM
  ibrav = 0, nat = 11, ntyp = 3
/
ATOMIC_SPECIES
V 50.94 V.upf
Cd 112.41 Cd.upf
Pd 106.42 Pd.upf
CELL_PARAMETERS angstrom
7.0589 -1.9760 0.0000
7.0589 1.9760 0.0000
-1.7285 0.0000 6.0630
ATOMIC_POSITIONS angstrom
V 2.9103 0.0000 0.9244
V 9.4789 0.0000 5.1386
Cd 6.1946 0.0000 3.0315
Pd 0.2847 0.0000 1.3503
Pd 0.8678 0.0000 4.2992
Pd 3.4618 0.0000 3.5367
Pd 5.5616 0.0000 0.1992
Pd 6.8276 0.0000 5.8638
Pd 8.9274 0.0000 2.5263
Pd 11.5214 0.0000 1.7637
Pd 12.1045 0.0000 4.7127

# 2
! VCd3Pd PBE-GGA relaxed; values from VASP
! **Energy of formation**: 0.59 eV/atom
! **N(E_F)**: 5.87 states/eV/cell
! **Crystal system**: cubic
! **Space-group type**: No. 221
&SYSTEM
  ibrav = 0, nat = 5, ntyp = 3
/
ATOMIC_SPECIES
V 50.94 V.upf
Cd 112.41 Cd.upf
Pd 106.42 Pd.upf
CELL_PARAMETERS angstrom
5.0939 0.0000 0.0000
0.0000 5.0939 0.0000
0.0000 0.0000 5.0939
ATOMIC_POSITIONS angstrom
V 0.0000 0.0000 0.0000
Cd 0.0000 2.5470 2.5470
Cd 2.5470 0.0000 2.5470
Cd 2.5470 2.5470 0.0000
Pd 2.5470 2.5470 2.5470

# 3
! V2CdPd PBE-GGA relaxed; values from VASP
! **Energy of formation**: 0.54 eV/atom
! **N(E_F)**: 16.78 states/eV/cell
! **Crystal system**: tetragonal
! **Space-group type**: No. 122
&SYSTEM
  ibrav = 0, nat = 16, ntyp = 3
/
ATOMIC_SPECIES
V 50.94 V.upf
Cd 112.41 Cd.upf
Pd 106.42 Pd.upf
CELL_PARAMETERS angstrom
7.2634 0.0000 0.0000
0.0000 7.2634 0.0000
0.0000 0.0000 5.1791
ATOMIC_POSITIONS angstrom
V 1.5883 5.4475 0.6474
V 1.8158 1.5883 4.5317
V 1.8158 2.0434 1.9421
V 2.0434 5.4475 3.2369
V 5.2200 1.8158 3.2369
V 5.4475 5.2200 1.9421
V 5.4475 5.6750 4.5317
V 5.6750 1.8158 0.6474
Cd 0.0000 0.0000 2.5895
Cd 0.0000 3.6317 3.8843
Cd 3.6317 0.0000 1.2948
Cd 3.6317 3.6317 0.0000
Pd 0.0000 0.0000 0.0000
Pd 0.0000 3.6317 1.2948
Pd 3.6317 0.0000 3.8843
Pd 3.6317 3.6317 2.5895

# 4
! V3CdPd PBE-GGA relaxed; values from VASP
! **Energy of formation**: 1.18 eV/atom
! **N(E_F)**: 7.52 states/eV/cell
! **Crystal system**: cubic
! **Space-group type**: No. 221
&SYSTEM
  ibrav = 0, nat = 5, ntyp = 3
/
ATOMIC_SPECIES
V 50.94 V.upf
Cd 112.41 Cd.upf
Pd 106.42 Pd.upf
CELL_PARAMETERS angstrom
4.6412 0.0000 0.0000
0.0000 4.6412 0.0000
0.0000 0.0000 4.6412
ATOMIC_POSITIONS angstrom
V 0.0000 0.0000 2.3206
V 0.0000 2.3206 0.0000
V 2.3206 0.0000 0.0000
Cd 2.3206 2.3206 2.3206
Pd 0.0000 0.0000 0.0000

# 5
! VCdPd4 PBE-GGA relaxed; values from VASP
! **Energy of formation**: -0.03 eV/atom
! **N(E_F)**: 5.95 states/eV/cell
! **Crystal system**: orthorhombic
! **Space-group type**: No. 51
&SYSTEM
  ibrav = 0, nat = 12, ntyp = 3
/
ATOMIC_SPECIES
V 50.94 V.upf
Cd 112.41 Cd.upf
Pd 106.42 Pd.upf
CELL_PARAMETERS angstrom
5.5149 0.0000 0.0000
0.0000 7.1425 0.0000
0.0000 0.0000 5.4916
ATOMIC_POSITIONS angstrom
V 1.3787 0.0000 1.0803
V 4.1362 0.0000 4.4114
Cd 1.3787 3.5712 3.7615
Cd 4.1362 3.5712 1.7301
Pd 0.0000 1.3883 2.7458
Pd 0.0000 1.7843 0.0000
Pd 0.0000 5.3582 0.0000
Pd 0.0000 5.7542 2.7458
Pd 2.7575 1.3883 2.7458
Pd 2.7575 1.7843 0.0000
Pd 2.7575 5.3582 0.0000
Pd 2.7575 5.7542 2.7458

# 6
! V2CdPd9 PBE-GGA relaxed; values from VASP
! **Energy of formation**: -0.27 eV/atom
! **N(E_F)**: 7.75 states/eV/cell
! **Crystal system**: tetragonal
! **Space-group type**: No. 123
&SYSTEM
  ibrav = 0, nat = 12, ntyp = 3
/
ATOMIC_SPECIES
V 50.94 V.upf
Cd 112.41 Cd.upf
Pd 106.42 Pd.upf
CELL_PARAMETERS angstrom
3.9298 0.0000 0.0000
0.0000 3.9298 0.0000
0.0000 0.0000 11.8639
ATOMIC_POSITIONS angstrom
V 0.0000 0.0000 2.0141
V 0.0000 0.0000 9.8498
Cd 0.0000 0.0000 5.9320
Pd 0.0000 1.9649 0.0000
Pd 0.0000 1.9649 3.7891
Pd 0.0000 1.9649 8.0748
Pd 1.9649 0.0000 0.0000
Pd 1.9649 0.0000 3.7891
Pd 1.9649 0.0000 8.0748
Pd 1.9649 1.9649 1.8959
Pd 1.9649 1.9649 5.9320
Pd 1.9649 1.9649 9.9680